A plane-wave DFT calculation with PBE+U was carried out for crystalline NaMn2Ni3O6 at its relaxed geometry.

Calculated values
Energy, Ry per atom: -0.425
ρ, kg/m3: 5523
Total magnetization, μB per formula unit: 15.000
Space-group type: C2/m (12)

Cell: 6.691 6.691 6.205 Å, 102.71 102.71 26.74°
Fractional positions:
1 Na 0.000 0.000 0.000
2 Mn 0.337 0.337 0.674
3 Mn 0.663 0.663 0.326
4 Ni 0.000 0.000 0.500
5 Ni 0.336 0.336 0.164
6 Ni 0.664 0.664 0.836
7 O 0.170 0.170 0.592
8 O 0.175 0.175 0.082
9 O 0.498 0.498 0.724
10 O 0.502 0.502 0.276
11 O 0.825 0.825 0.918
12 O 0.830 0.830 0.408